(1)
TbPaRh2 PBE optimized geometry; space group = R3m; density of states at the Fermi level = 2.03 states/eV/cell; excess energy over the best structure of this formula in the dataset = 133 meV per atom; ΔE_f = -0.74 eV per atom
1.0
-2.1770 -0.3766 -3.1430
-0.6688 -3.4871 -1.4669
-6.7069 -1.8917 2.5243
Tb Pa Rh
1 1 2
Direct
0.4974 0.4974 0.5077 Tb
0.6684 0.6684 0.9949 Pa
0.0768 0.0768 0.7697 Rh
0.2575 0.2575 0.2276 Rh


(2)
Ca2UTl3S6 PBE optimized geometry; space group = C2/m; density of states at the Fermi level = 0.81 states/eV/cell; ΔE_f (raw) = -1.277 eV per atom
1.0
-5.2783 2.5530 3.9358
-1.4255 -3.3170 -6.0692
1.7818 -6.2318 4.3424
Ca U Tl S
2 1 3 6
Direct
0.3338 0.6662 0.0000 Ca
0.6662 0.3338 0.0000 Ca
0.0000 0.0000 0.0000 U
0.1691 0.8309 0.5000 Tl
0.8309 0.1691 0.5000 Tl
0.5000 0.5000 0.5000 Tl
0.9339 0.6257 0.8028 S
0.7594 0.7594 0.2043 S
0.0661 0.3743 0.1972 S
0.6257 0.9339 0.8028 S
0.2406 0.2406 0.7957 S
0.3743 0.0661 0.1972 S


(3)
BaPa2TcN5 PBE optimized geometry; space group = I4/mcm; density of states at the Fermi level = 10.22 states/eV/cell; ΔE_f (raw) = -1.059 eV per atom
1.0
6.7545 0.0000 0.0000
0.0000 6.7545 0.0000
-3.3772 -3.3772 5.8531
Ba Pa Tc N
2 4 2 10
Direct
0.2500 0.2500 0.5000 Ba
0.7500 0.7500 0.5000 Ba
0.1855 0.3145 0.0000 Pa
0.6855 0.1855 0.0000 Pa
0.3145 0.8145 0.0000 Pa
0.8145 0.6855 0.0000 Pa
0.2500 0.7500 0.5000 Tc
0.7500 0.2500 0.5000 Tc
0.9882 0.4882 0.2550 N
0.7332 0.2332 0.7450 N
0.0118 0.5118 0.7450 N
0.2332 0.0118 0.7450 N
0.5118 0.7332 0.7450 N
0.7668 0.9882 0.2550 N
0.4882 0.2668 0.2550 N
0.2668 0.7668 0.2550 N
0.5000 0.5000 0.0000 N
0.0000 0.0000 0.0000 N


(4)
Np3Tl3AgTe8 PBE optimized geometry; space group = C2/m; density of states at the Fermi level = 30.11 states/eV/cell; ΔE_f (raw) = -0.426 eV per atom
1.0
8.7023 0.0014 -0.0001
-4.3499 7.5266 -0.0273
-0.0009 -4.9834 8.2922
Np Tl Ag Te
3 3 1 8
Direct
0.5000 0.0000 0.5000 Np
0.5000 0.5000 0.5000 Np
0.0000 0.5000 0.5000 Np
0.0000 0.0000 0.0000 Tl
0.0000 0.5000 0.0000 Tl
0.5000 0.5000 0.0000 Tl
0.0000 0.0000 0.5000 Ag
0.2613 0.5225 0.2837 Te
0.7387 0.4775 0.7163 Te
0.7604 0.5209 0.2898 Te
0.2396 0.4791 0.7102 Te
0.7595 0.0295 0.2891 Te
0.2405 0.9705 0.7109 Te
0.2700 0.0296 0.2892 Te
0.7300 0.9704 0.7108 Te


(5)
AcCeIrO6 PBE optimized geometry; space group = P-31c; density of states at the Fermi level = 11.61 states/eV/cell; ΔE_f (raw) = -2.228 eV per atom
1.0
-1.9381 -0.5366 -5.4422
-3.6517 -0.6672 4.4589
-1.8991 8.9897 -0.2101
Ac Ce Ir O
2 2 2 12
Direct
0.3333 0.6667 0.2500 Ac
0.6667 0.3333 0.7500 Ac
0.0000 0.0000 0.0000 Ce
0.0000 0.0000 0.5000 Ce
0.6667 0.3333 0.2500 Ir
0.3333 0.6667 0.7500 Ir
0.6979 0.6299 0.1265 O
0.9320 0.3021 0.1265 O
0.3021 0.9320 0.6265 O
0.0680 0.6979 0.8735 O
0.3701 0.3021 0.3735 O
0.9320 0.6299 0.3735 O
0.6299 0.9320 0.8735 O
0.6979 0.0680 0.3735 O
0.0680 0.3701 0.6265 O
0.3701 0.0680 0.1265 O
0.6299 0.6979 0.6265 O
0.3021 0.3701 0.8735 O


(6)
Tb4ZnCd3 PBE optimized geometry; space group = P4/mmm; density of states at the Fermi level = 9.89 states/eV/cell; excess energy over the best structure of this formula in the dataset = 0 meV per atom; ΔE_f = -0.32 eV per atom
1.0
3.6798 0.0000 0.0000
0.0000 3.6798 0.0000
0.0000 0.0000 15.1375
Zn Tb Cd
1 4 3
Direct
0.5000 0.5000 0.0000 Zn
0.0000 0.0000 0.8870 Tb
0.0000 0.0000 0.1130 Tb
0.0000 0.0000 0.3718 Tb
0.0000 0.0000 0.6282 Tb
0.5000 0.5000 0.2435 Cd
0.5000 0.5000 0.5000 Cd
0.5000 0.5000 0.7565 Cd


| no. | VASP energy (eV/atom) | magnetic moment (Bohr magnetons per cell) |
| --- | --- | --- |
| 1 | -7.944 | 0.000 |
| 2 | -5.207 | 1.000 |
| 3 | -9.160 | 0.001 |
| 4 | -5.353 | 9.037 |
| 5 | -7.634 | 3.925 |
| 6 | -3.139 | 0.552 |